[1]
HoAlAg: relaxed, PBE-GGA.

The structure in extended XYZ format:
```
3
Lattice="0.000 3.302 3.302 3.302 0.000 3.302 3.302 3.302 0.000" Properties=species:S:1:pos:R:3 pbc="T T T"
Ho 0.000 0.000 0.000
Al 3.302 3.302 3.302
Ag 1.651 1.651 1.651
```

Output
The calculation puts the energy of formation from the pure elements at -182.3 meV per atom. Its crystal system is cubic.

***

[2]
ScI2F: relaxed, PBE-GGA.

The structure in extended XYZ format:
```
4
Lattice="8.205 -2.052 0.000 8.205 2.052 0.000 -0.055 0.000 4.106" Properties=species:S:1:pos:R:3 pbc="T T T"
Sc 0.000 0.000 0.000
I 6.099 0.000 4.079
I 10.256 0.000 0.027
F -0.028 0.000 2.053
```

Output
For the formation energy without anion corrections, the calculation gives -2.129 eV/atom. Its crystal system is monoclinic. Its polymorph energy (0 for the lowest one) is 0.000 eV/atom.

***

[3]
Fe4SnAs12: relaxed, PBE-GGA.

The structure in extended XYZ format:
```
17
Lattice="-4.193 4.193 4.193 4.193 -4.193 4.193 4.193 4.193 -4.193" Properties=species:S:1:pos:R:3 pbc="T T T"
Fe 2.097 2.097 -2.097
Fe 2.097 -2.097 2.097
Fe -2.097 2.097 2.097
Fe 2.097 2.097 2.097
Sn 0.000 0.000 0.000
As 2.869 1.294 0.000
As 5.517 1.294 0.000
As 4.193 -1.324 2.899
As 2.899 4.193 -1.324
As 1.294 0.000 2.869
As 0.000 2.869 1.294
As 4.193 1.324 2.899
As 2.899 4.193 1.324
As 1.294 0.000 5.517
As 0.000 5.517 1.294
As -1.324 2.899 4.193
As 1.324 2.899 4.193
```

Output
The calculation puts the energy of formation from the pure elements at -140.3 meV per atom. Its crystal system is cubic.

***

[4]
In2OsRh: relaxed, PBE-GGA.

The structure in extended XYZ format:
```
4
Lattice="3.006 -4.445 0.000 3.006 4.445 0.000 -1.323 0.000 2.654" Properties=species:S:1:pos:R:3 pbc="T T T"
In 1.503 2.222 0.000
In 1.503 -2.222 0.000
Os -0.661 0.000 1.327
Rh 2.344 0.000 1.327
```

Output
The calculation puts the energy of formation from the pure elements at 354.2 meV per atom. Its crystal system is monoclinic. Its polymorph energy (0 for the lowest one) is 0.289 eV/atom.

***

[5]
Ce3PrSm4P8: relaxed, PBE-GGA.

The structure in extended XYZ format:
```
16
Lattice="4.112 2.374 6.708 -4.112 2.374 6.708 0.000 -4.748 6.708" Properties=species:S:1:pos:R:3 pbc="T T T"
Ce -2.056 -1.187 6.708
Ce -2.056 1.187 13.416
Ce 0.000 2.374 6.708
Pr 0.000 0.000 0.000
Sm -4.112 0.000 10.062
Sm -2.056 1.187 3.354
Sm 2.056 1.187 3.354
Sm 0.000 0.000 10.062
P 0.000 0.000 5.054
P 0.000 -2.340 8.376
P -2.026 1.170 8.376
P -2.026 -1.170 11.748
P 2.026 1.170 8.376
P 2.026 -1.170 11.748
P 0.000 2.340 11.748
P 0.000 0.000 15.070
```

Output
The calculation puts the energy of formation from the pure elements at -1544.2 meV per atom. Its crystal system is trigonal.

***

[6]
MgBeHS: relaxed, PBE-GGA.

The structure in extended XYZ format:
```
4
Lattice="3.429 0.000 0.000 -1.714 2.971 0.000 -0.016 -1.959 6.478" Properties=species:S:1:pos:R:3 pbc="T T T"
Mg 0.000 0.000 0.000
Be 1.715 0.974 3.182
H 1.716 0.969 4.629
S 0.000 -0.017 2.512
```

Output
Its crystal system is triclinic. Its polymorph energy (0 for the lowest one) is 0.046 eV/atom.

***

[7]
Ag3Ir: relaxed, PBE-GGA.

The structure in extended XYZ format:
```
8
Lattice="2.867 -5.102 0.000 2.867 5.102 0.000 0.000 0.000 4.672" Properties=species:S:1:pos:R:3 pbc="T T T"
Ag 1.426 1.814 3.504
Ag 2.867 4.302 3.504
Ag 1.426 -1.814 1.168
Ag 4.309 1.814 3.504
Ag 2.867 -4.302 1.168
Ag 4.309 -1.814 1.168
Ir 2.867 0.554 1.168
Ir 2.867 -0.554 3.504
```

Output
The calculation puts the energy of formation from the pure elements at 273.0 meV per atom. Its crystal system is orthorhombic.

***

[8]
BaCa2Rh2: relaxed, PBE-GGA.

The structure in extended XYZ format:
```
10
Lattice="8.500 0.000 0.000 0.000 8.500 0.000 0.000 0.000 3.465" Properties=species:S:1:pos:R:3 pbc="T T T"
Ba 0.000 0.000 0.000
Ba 4.250 4.250 0.000
Ca 1.145 3.105 1.732
Ca 3.105 7.355 1.732
Ca 5.396 1.145 1.732
Ca 7.355 5.396 1.732
Rh 1.370 5.620 0.000
Rh 2.880 1.370 0.000
Rh 5.620 7.130 0.000
Rh 7.130 2.880 0.000
```

Output
The calculation puts the energy of formation from the pure elements at -212.3 meV per atom. Its crystal system is tetragonal. Its polymorph energy (0 for the lowest one) is 0.000 eV/atom.

***

[9]
LaNb2Ru2: relaxed, PBE-GGA.

The structure in extended XYZ format:
```
5
Lattice="-2.218 2.218 5.370 2.218 -2.218 5.370 2.218 2.218 -5.370" Properties=species:S:1:pos:R:3 pbc="T T T"
La 0.000 0.000 0.000
Nb 2.218 0.000 2.685
Nb 0.000 2.218 2.685
Ru 0.000 0.000 4.042
Ru 0.000 0.000 6.697
```

Output
The calculation puts the energy of formation from the pure elements at -218.7 meV per atom. Its crystal system is tetragonal. Its polymorph energy (0 for the lowest one) is 0.000 eV/atom.

***

[10]
UCdSe2: relaxed, PBE-GGA.

The structure in extended XYZ format:
```
4
Lattice="2.018 1.165 9.806 -2.018 1.165 9.806 0.000 -2.330 9.806" Properties=species:S:1:pos:R:3 pbc="T T T"
U 0.000 0.000 0.000
Cd 0.000 0.000 14.709
Se 0.000 0.000 11.411
Se 0.000 0.000 18.008
```

Output
For the formation energy without anion corrections, the calculation gives -0.707 eV/atom. Its crystal system is trigonal. Its polymorph energy (0 for the lowest one) is 0.003 eV/atom.

***

[11]
MgOsI2: relaxed, PBE-GGA.

The structure in extended XYZ format:
```
8
Lattice="-3.164 3.164 6.263 3.164 -3.164 6.263 3.164 3.164 -6.263" Properties=species:S:1:pos:R:3 pbc="T T T"
Mg 0.000 0.000 0.000
Mg 0.000 3.164 3.132
Os 3.164 0.000 3.132
Os 0.000 0.000 6.263
I 1.582 -1.336 4.697
I 1.827 1.582 1.566
I 1.582 4.500 -1.566
I 1.336 1.582 7.829
```

Output
For the formation energy without anion corrections, the calculation gives 0.746 eV/atom. Its crystal system is tetragonal. Its polymorph energy (0 for the lowest one) is 0.000 eV/atom.

***

[12]
Be2PSe: relaxed, PBE-GGA.

The structure in extended XYZ format:
```
4
Lattice="2.386 -2.803 0.000 2.386 2.803 0.000 -0.909 0.000 4.715" Properties=species:S:1:pos:R:3 pbc="T T T"
Be 0.933 0.000 1.054
Be 2.929 0.000 3.662
P 2.386 -1.137 0.000
Se 1.931 1.604 2.358
```

Output
For the formation energy without anion corrections, the calculation gives -0.333 eV/atom. Its crystal system is monoclinic. Its polymorph energy (0 for the lowest one) is 0.006 eV/atom.

***

Number 1: magnetic moment 0.000 μB/cell, ρ 6.91 g/cm3. Number 2: magnetic moment 0.000 μB/cell, ρ 3.82 g/cm3. Number 3: magnetic moment 1.989 μB/cell, ρ 6.99 g/cm3. Number 4: magnetic moment 0.328 μB/cell, ρ 12.24 g/cm3. Number 5: magnetic moment 1.443 μB/cell, ρ 5.96 g/cm3. Number 6: magnetic moment 0.765 μB/cell, ρ 1.67 g/cm3. Number 7: magnetic moment 0.771 μB/cell, ρ 12.53 g/cm3. Number 8: magnetic moment 0.000 μB/cell, ρ 5.62 g/cm3. Number 9: magnetic moment 0.000 μB/cell, ρ 8.28 g/cm3. Number 10: magnetic moment 2.048 μB/cell, ρ 6.10 g/cm3. Number 11: magnetic moment 0.000 μB/cell, ρ 6.20 g/cm3. Number 12: magnetic moment 0.000 μB/cell, ρ 3.37 g/cm3.